Below is a geometry-optimized LiCrSiO4 structure, with properties calculated at the GGA+U level.

Properties
Relative energy among the computed polymorphs   36 meV/atom

```
LiCrSiO4
1.0
-2.774 2.965 4.093
2.774 -2.965 4.093
2.774 2.965 -4.093
Li Cr Si O
2 2 2 8
Direct
0.370 0.120 0.250
0.630 0.880 0.750
0.000 0.500 0.500
0.500 0.500 0.000
0.000 0.000 0.500
0.000 0.500 0.000
0.204 0.746 0.457
0.211 0.254 0.957
0.217 0.229 0.512
0.217 0.706 0.988
0.783 0.294 0.012
0.783 0.771 0.488
0.789 0.746 0.043
0.796 0.254 0.543
```


Below is a geometry-optimized Li2CrSi6O15 structure, with properties calculated at the GGA+U level.

```
Li2CrSi6O15
1.0
-3.938 7.360 5.033
3.938 -7.360 5.033
3.938 7.360 -5.033
Li Cr Si O
4 2 12 30
Direct
0.256 0.000 0.756
0.256 0.500 0.256
0.744 0.000 0.244
0.744 0.500 0.744
0.000 0.000 0.000
0.500 0.000 0.500
0.113 0.278 0.457
0.113 0.655 0.835
0.320 0.278 0.665
0.320 0.655 0.043
0.377 0.729 0.649
0.420 0.271 0.149
0.580 0.729 0.851
0.623 0.271 0.351
0.680 0.345 0.957
0.680 0.722 0.335
0.887 0.345 0.165
0.887 0.722 0.543
0.015 0.263 0.105
0.015 0.910 0.752
0.027 0.401 0.626
0.180 0.183 0.503
0.180 0.677 0.997
0.235 0.170 0.066
0.266 0.463 0.471
0.266 0.794 0.803
0.275 0.401 0.874
0.342 0.090 0.605
0.342 0.737 0.252
0.396 0.830 0.566
0.456 0.206 0.250
0.492 0.463 0.697
0.492 0.794 0.029
0.508 0.206 0.971
0.508 0.537 0.303
0.544 0.794 0.750
0.604 0.170 0.434
0.658 0.263 0.748
0.658 0.910 0.395
0.725 0.599 0.126
0.734 0.206 0.197
0.734 0.537 0.529
0.765 0.830 0.934
0.820 0.323 0.003
0.820 0.817 0.497
0.973 0.599 0.374
0.985 0.090 0.248
0.985 0.737 0.895
```


Below is a geometry-optimized Li2CrSi6O15 structure, with properties calculated at the GGA+U level.

```
Li2CrSi6O15
1.0
7.077 0.000 0.000
-2.948 6.538 0.000
-2.662 -1.731 6.746
Li Cr Si O
2 1 6 15
Direct
0.242 0.308 0.000
0.758 0.692 0.000
0.000 0.500 0.000
0.120 0.311 0.387
0.298 0.999 0.307
0.317 0.671 0.759
0.683 0.329 0.241
0.702 0.001 0.693
0.880 0.689 0.613
0.099 0.771 0.165
0.147 0.769 0.649
0.165 0.419 0.211
0.170 0.110 0.384
0.283 0.592 0.948
0.286 0.477 0.603
0.414 0.148 0.172
0.500 0.000 0.500
0.586 0.852 0.828
0.714 0.523 0.397
0.717 0.408 0.052
0.830 0.890 0.616
0.835 0.581 0.789
0.853 0.231 0.351
0.901 0.229 0.835
```


Below is a geometry-optimized LiCrSiO4 structure, with properties calculated at the GGA+U level.

Properties
Relative energy among the computed polymorphs   0 meV/atom

```
LiCrSiO4
1.0
10.193 0.000 0.000
0.000 5.778 0.000
0.000 0.000 4.775
Li Cr Si O
4 4 4 16
Direct
0.000 0.000 0.000
0.000 0.500 0.000
0.500 0.000 0.500
0.500 0.500 0.500
0.231 0.250 0.497
0.269 0.750 0.997
0.731 0.250 0.003
0.769 0.750 0.503
0.092 0.750 0.439
0.408 0.250 0.939
0.592 0.750 0.061
0.908 0.250 0.561
0.057 0.250 0.689
0.100 0.750 0.777
0.171 0.532 0.277
0.171 0.968 0.277
0.329 0.032 0.777
0.329 0.468 0.777
0.400 0.250 0.277
0.443 0.750 0.189
0.557 0.250 0.811
0.600 0.750 0.723
0.671 0.532 0.223
0.671 0.968 0.223
0.829 0.032 0.723
0.829 0.468 0.723
0.900 0.250 0.223
0.943 0.750 0.311
```


Below is a geometry-optimized Li3Cr3SiO8 structure, with properties calculated at the GGA+U level.

Properties
Relative energy among the computed polymorphs   26 meV/atom

```
Li3Cr3SiO8
1.0
5.048 0.000 0.000
0.000 5.822 0.000
-1.584 0.000 4.884
Li Cr Si O
3 3 1 8
Direct
0.000 0.000 0.000
0.500 0.265 0.000
0.500 0.735 0.000
0.000 0.255 0.500
0.000 0.745 0.500
0.500 0.000 0.500
0.500 0.500 0.500
0.232 0.000 0.726
0.270 0.500 0.705
0.283 0.267 0.293
0.283 0.733 0.293
0.717 0.267 0.707
0.717 0.733 0.707
0.730 0.500 0.295
0.768 0.000 0.274
```


Below is a geometry-optimized LiCrSiO4 structure, with properties calculated at the GGA+U level.

Properties
Relative energy among the computed polymorphs   46 meV/atom

```
LiCrSiO4
1.0
-2.779 2.940 3.979
2.779 -2.940 3.979
2.779 2.940 -3.979
Li Cr Si O
2 2 2 8
Direct
0.500 0.000 0.000
0.500 0.500 0.500
0.000 0.000 0.000
0.500 0.000 0.500
0.114 0.364 0.750
0.886 0.636 0.250
0.233 0.748 0.484
0.236 0.252 0.984
0.243 0.247 0.505
0.243 0.738 0.995
0.757 0.262 0.005
0.757 0.753 0.495
0.764 0.748 0.016
0.767 0.252 0.516
```


Below is a geometry-optimized LiCrSi2O6 structure, with properties calculated at the GGA+U level.

Properties
Relative energy among the computed polymorphs   0 meV/atom

```
LiCrSi2O6
1.0
9.307 0.000 0.000
0.000 8.743 0.000
-1.130 0.000 5.207
Li Cr Si O
4 4 8 24
Direct
0.248 0.008 0.011
0.248 0.492 0.511
0.752 0.508 0.489
0.752 0.992 0.989
0.250 0.656 0.014
0.250 0.844 0.514
0.750 0.156 0.486
0.750 0.344 0.986
0.050 0.160 0.275
0.050 0.340 0.775
0.450 0.160 0.703
0.450 0.340 0.203
0.550 0.660 0.797
0.550 0.840 0.297
0.950 0.660 0.225
0.950 0.840 0.725
0.109 0.234 0.031
0.109 0.266 0.531
0.118 0.510 0.803
0.118 0.990 0.303
0.133 0.667 0.295
0.133 0.833 0.795
0.367 0.665 0.731
0.367 0.835 0.231
0.376 0.504 0.230
0.376 0.996 0.730
0.395 0.225 0.409
0.395 0.275 0.909
0.605 0.725 0.091
0.605 0.775 0.591
0.624 0.004 0.270
0.624 0.496 0.770
0.633 0.165 0.769
0.633 0.335 0.269
0.867 0.167 0.205
0.867 0.333 0.705
0.882 0.010 0.697
0.882 0.490 0.197
0.891 0.734 0.469
0.891 0.766 0.969
```


Below is a geometry-optimized Li2CrSi3O8 structure, with properties calculated at the GGA+U level.

```
Li2CrSi3O8
1.0
6.678 0.000 0.000
0.000 8.100 0.000
-2.521 0.000 6.543
Li Cr Si O
4 2 6 16
Direct
0.108 0.000 0.066
0.305 0.468 0.741
0.695 0.968 0.259
0.892 0.500 0.934
0.484 0.312 0.144
0.516 0.812 0.856
0.097 0.765 0.436
0.269 0.132 0.458
0.308 0.652 0.152
0.692 0.152 0.848
0.731 0.632 0.542
0.903 0.265 0.564
0.094 0.672 0.223
0.128 0.962 0.400
0.154 0.261 0.572
0.259 0.496 0.997
0.267 0.691 0.641
0.272 0.196 0.243
0.363 0.830 0.074
0.497 0.086 0.638
0.503 0.586 0.362
0.637 0.330 0.926
0.728 0.696 0.757
0.733 0.191 0.359
0.741 0.996 0.003
0.846 0.761 0.428
0.872 0.462 0.600
0.906 0.172 0.777
```


| no. | energy (eV per formula unit) |
| --- | --- |
| 1 | -51.030 |
| 2 | -178.691 |
| 3 | -178.669 |
| 4 | -51.282 |
| 5 | -105.764 |
| 6 | -50.960 |
| 7 | -75.107 |
| 8 | -101.874 |